No. 1
Below is PaBi4 after structural relaxation, with properties calculated at the GGA-PBE level.

Cell and atoms, written as POSCAR:
```
PaBi4
1.0
4.514 0.001 0.001
2.258 5.796 -0.559
2.258 0.561 5.801
Pa Bi
1 4
direct
0.000 0.500 0.500
0.630 0.674 0.066
0.197 0.934 0.673
0.803 0.066 0.327
0.370 0.326 0.934
```

E_form = -0.036 eV/atom
Space group = No. 87
ΔE to the lowest computed polymorph = 0 meV/atom

***

No. 2
Below is PaBi after structural relaxation, with properties calculated at the GGA-PBE level.

Cell and atoms, written as POSCAR:
```
PaBi
1.0
-2.783 -1.373 2.622
3.438 -3.153 1.997
2.981 4.889 2.576
Pa Bi
2 2
direct
0.601 0.751 0.203
0.399 0.249 0.797
0.125 0.250 0.250
0.875 0.750 0.750
```

E_form = -0.057 eV/atom
Space group = No. 12
ΔE to the lowest computed polymorph = 43 meV/atom

***

No. 3
Below is Pa2Bi after structural relaxation, with properties calculated at the GGA-PBE level.

Cell and atoms, written as POSCAR:
```
Pa2Bi
1.0
-3.360 2.525 0.444
0.195 -0.478 4.195
4.417 2.694 -2.029
Pa Bi
2 1
direct
0.141 0.141 0.283
0.859 0.859 0.717
0.500 0.500 0.000
```

E_form = 0.050 eV/atom
Space group = No. 139
ΔE to the lowest computed polymorph = 31 meV/atom

***

No. 4
Below is PaBi after structural relaxation, with properties calculated at the GGA-PBE level.

Cell and atoms, written as POSCAR:
```
PaBi
1.0
4.351 0.000 0.000
0.000 4.318 0.557
0.000 -0.823 6.439
Pa Bi
2 2
direct
0.250 0.749 0.818
0.750 0.251 0.182
0.250 0.750 0.310
0.750 0.250 0.690
```

E_form = -0.031 eV/atom
Space group = No. 11
ΔE to the lowest computed polymorph = 69 meV/atom

***

No. 5
Below is Pa3Bi after structural relaxation, with properties calculated at the GGA-PBE level.

Cell and atoms, written as POSCAR:
```
Pa3Bi
1.0
3.278 0.000 0.000
0.000 5.741 0.000
-1.639 -2.870 5.487
Pa Bi
3 1
direct
0.252 0.581 0.503
0.500 0.503 0.000
0.748 0.078 0.497
0.000 0.005 0.000
```

E_form = -0.013 eV/atom
Space group = No. 44
ΔE to the lowest computed polymorph = 89 meV/atom

***

No. 6
Below is Pa2Bi after structural relaxation, with properties calculated at the GGA-PBE level.

Cell and atoms, written as POSCAR:
```
Pa2Bi
1.0
6.088 0.000 0.000
3.044 5.272 0.000
3.044 1.757 4.971
Pa Bi
4 2
direct
0.125 0.625 0.625
0.625 0.125 0.625
0.625 0.625 0.625
0.625 0.625 0.125
0.000 0.000 0.000
0.250 0.250 0.250
```

E_form = 0.116 eV/atom
Space group = No. 227
ΔE to the lowest computed polymorph = 97 meV/atom

***

No. 7
Below is Pa2BiPb after structural relaxation, with properties calculated at the GGA-PBE level.

Cell and atoms, written as POSCAR:
```
Pa2BiPb
1.0
4.463 0.000 0.000
2.231 3.865 0.000
2.231 1.288 7.255
Pb Pa Bi
1 2 1
direct
0.000 0.000 0.000
0.251 0.251 0.247
0.749 0.749 0.753
0.500 0.500 0.500
```

E_form = 0.128 eV/atom
Space group = No. 166
ΔE to the lowest computed polymorph = 99 meV/atom

***

No. 8
Below is PaBi3Pb after structural relaxation, with properties calculated at the GGA-PBE level.

Cell and atoms, written as POSCAR:
```
PaBi3Pb
1.0
6.559 0.000 -0.203
0.000 6.005 0.000
-3.780 -3.002 7.903
Pa Bi Pb
2 6 2
direct
0.234 0.192 0.384
0.766 0.808 0.616
0.762 0.003 0.005
0.238 0.997 0.995
0.308 0.620 0.240
0.692 0.380 0.760
0.251 0.792 0.583
0.749 0.208 0.417
0.208 0.405 0.809
0.792 0.595 0.191
```

E_form = -0.054 eV/atom
Space group = No. 12